A relaxed MnSiF3 crystal. Source: the Alexandria database, functional PBE with a Hubbard U.

The calculation puts the energy above the lowest structure with this stoichiometry at 149.8 meV/atom. The calculation puts the magnetic moment at 5.99 μB per cell.

The space group is Pm-3m (No. 221) and the conventional cell measures 4.3166, 4.3166 and 4.3166 Å, with angles of 90.00, 90.00 and 90.00 degrees. Symmetry generates all atoms from Mn at (0.0000, 0.0000, 0.0000), Si at (0.5000, 0.5000, 0.5000) and F at (0.0000, 0.5000, 0.5000).